A plane-wave DFT calculation with PBE-GGA was carried out for DyEr2Al after structural relaxation.

Summary:
- Electronic total energy: -4.45 eV per atom
- Crystal system: orthorhombic
- Energy above the most stable polymorph in this dataset: 0.481 eV per formula unit

abc: 5.300 6.856 6.856
angles: 60.53 90.00 90.00
Fractional positions:
Er 0.500 0.839 0.839
Er 0.000 0.163 0.163
Er 0.000 0.172 0.675
Er 0.000 0.675 0.172
Al 0.500 0.834 0.319
Al 0.500 0.319 0.834
Dy 0.000 0.659 0.659
Dy 0.500 0.341 0.341